Al4NiPd3, relaxed, DFT PBE; DOS at the Fermi energy = 4.10 states/eV/f.u.; E_tot = -42.80 eV/f.u.; E_form = -0.808 eV per atom; SG = P4/mmm (123); total moment = 0.0 μB per formula unit
1.0
-2.2464 1.7588 0.9425
-1.5687 -0.6795 -2.4709
-5.0829 -9.6422 5.8786
Al Pd Ni
4 3 1
Direct
0.0000 0.0000 0.6292 Al
0.0000 0.0000 0.3708 Al
0.0000 0.0000 0.1115 Al
0.0000 0.0000 0.8885 Al
0.5000 0.5000 0.7584 Pd
0.5000 0.5000 0.5000 Pd
0.5000 0.5000 0.2416 Pd
0.5000 0.5000 0.0000 Ni